The following is a PBE with a Hubbard U calculation of MnCNO2 after structural relaxation, from Alexandria via LeMat-Bulk.

Calculated values
VASP energy, eV/cell: -25.7
Density, kg/m³: 3824
DOS at the Fermi energy, states/eV/atom: 0.845
SG: P4/mmm (123)

abc: 3.488 3.488 4.031
angles: 90.00 90.00 90.00
Positions (direct):
C 0.500 0.500 0.500
Mn 0.000 0.000 0.000
O 0.000 0.500 0.000
O 0.500 0.000 0.000
N 0.000 0.000 0.500